Record 1
DFT (PBE-GGA) results for crystalline Sc2NiP at its relaxed geometry.

Cell lengths 3.4068, 3.4068, 25.1774 Å; angles 90.00, 90.00, 120.00 degrees
Space group R-3m (No. 166, hexagonal axes)
Symmetry-distinct sites (fractional):
Sc1 0.0000 0.0000 0.1014
Ni1 0.0000 0.0000 0.5000
P1 0.0000 0.0000 0.0000

Results
DFT formation energy	0	kJ/mol of formula units

=====

Record 2
DFT (PBE-GGA) results for crystalline NaLiGdHg at its relaxed geometry.

Cell lengths 7.366, 7.366, 7.366 Å; angles 90.00, 90.00, 90.00 degrees
Space group F-43m (No. 216)
Symmetry-distinct sites (fractional):
Na1 0.000 0.000 0.000
Li1 0.250 0.250 0.750
Gd1 0.000 0.000 0.500
Hg1 0.250 0.250 0.250

Results
DFT formation energy	-38	kJ/mol of formula units

=====

Record 3
DFT (PBE-GGA) results for crystalline CaLaIn at its relaxed geometry.

Cell lengths 7.529, 4.722, 10.543 Å; angles 90.00, 90.00, 90.00 degrees
Space group Pnma (No. 62)
Symmetry-distinct sites (fractional):
Ca1 0.122 0.250 0.101
La1 0.120 0.250 0.418
In1 0.131 0.250 0.753

Results
offset from the most stable computed form	0.167	eV per atom
DFT formation energy	-80	kJ/mol of formula units

=====

> Which value of DFT formation energy does entry 2 give?

-38 kJ/mol of formula units